(1)
This record from the Alexandria database describes a relaxed structure of Li2TbScHg4. The functional is PBE-GGA.

Calculated values
Its calculated formation energy is -0.4141 eV/atom. Its total DFT energy (no corrections) is -57.9 eV/cell. For the volume, the calculation gives 512 Å³ per cell.

a = 4.9211 Å, b = 4.9211 Å, c = 24.4021 Å
α = 90.00°, β = 90.00°, γ = 120.00°
Space group R-3m (No. 166, hexagonal axes)
Asymmetric unit:
1 Li 0.0000 0.0000 0.2479 (multiplicity 6)
2 Tb 0.0000 0.0000 0.0000 (multiplicity 3)
3 Sc 0.0000 0.0000 0.5000 (multiplicity 3)
4 Hg 0.0000 0.0000 0.1280 (multiplicity 6)
5 Hg 0.0000 0.0000 0.3798 (multiplicity 6)



(2)
This record from the Alexandria database describes a relaxed structure of CoCu2Hg2. The functional is PBE-GGA.

Calculated values
The calculation puts the energy above the most stable polymorph in this dataset at 0.101 eV/atom. Its calculated formation energy is 0.5163 eV/atom. Its total DFT energy (no corrections) is -26.6 eV/cell. For the volume, the calculation gives 168 Å³ per cell.

a = 7.544 Å, b = 7.544 Å, c = 2.955 Å
α = 90.00°, β = 90.00°, γ = 90.00°
Space group P4/mbm (No. 127)
Asymmetric unit:
1 Co 0.000 0.000 0.000 (multiplicity 2)
2 Cu 0.126 0.374 0.500 (multiplicity 4)
3 Hg 0.172 0.672 0.000 (multiplicity 4)



(3)
This record from the Alexandria database describes a relaxed structure of PmPu2Ga. The functional is PBE-GGA.

Calculated values
The calculation puts the energy above the most stable polymorph in this dataset at 0.120 eV/atom. Its calculated formation energy is -0.0228 eV/atom. Its total DFT energy (no corrections) is -36.5 eV/cell. For the volume, the calculation gives 105 Å³ per cell.

a = 3.777 Å, b = 3.777 Å, c = 7.388 Å
α = 90.00°, β = 90.00°, γ = 90.00°
Space group P4/mmm (No. 123)
Asymmetric unit:
1 Pm 0.000 0.000 0.000 (multiplicity 1)
2 Pu 0.500 0.500 0.299 (multiplicity 2)
3 Ga 0.000 0.000 0.500 (multiplicity 1)